Entry 1:
Compound: YNCl2
Source: Alexandria via LeMat-Bulk
Functional: GGA-PBE
Structure: relaxed

Values from the calculation:
volume: 72.77 Å³/f.u.
calculated total energy: -4.977 eV/atom
energy above the most stable polymorph in this dataset: 0 meV/atom
crystal system: cubic
energy relative to the elements, uncorrected: -356 meV per atom
D(E_F): 2.9 states/eV/f.u.

Geometry as CIF:
```
data_YNCl2
_cell_length_a 6.627
_cell_length_b 6.627
_cell_length_c 6.627
_cell_angle_alpha 90.00
_cell_angle_beta 90.00
_cell_angle_gamma 90.00
_space_group_name_H-M_alt 'P 1'
_space_group_IT_number 1
_space_group_name_Hall 'P 1'
loop_
_atom_site_label
_atom_site_fract_x
_atom_site_fract_y
_atom_site_fract_z
Y1 0.000 0.000 0.000
Y2 0.000 0.500 0.500
Y3 0.500 0.000 0.500
Y4 0.500 0.500 0.000
N1 0.000 0.000 0.500
N2 0.000 0.500 0.000
N3 0.500 0.000 0.000
N4 0.500 0.500 0.500
Cl1 0.250 0.250 0.250
Cl2 0.250 0.250 0.750
Cl3 0.250 0.750 0.250
Cl4 0.250 0.750 0.750
Cl5 0.750 0.250 0.250
Cl6 0.750 0.250 0.750
Cl7 0.750 0.750 0.250
Cl8 0.750 0.750 0.750
```

***

Entry 2:
Compound: Pr2Nd3Y6Pb
Source: Alexandria via LeMat-Bulk
Functional: GGA-PBE
Structure: relaxed

Values from the calculation:
volume: 390.92 Å³/f.u.
energy of formation from the pure elements: -0.9 eV per formula unit
calculated total energy: -5.606 eV/atom
crystal system: monoclinic
D(E_F): 14.3 states/eV/f.u.

Geometry as CIF:
```
data_Pr2Nd3Y6Pb
_cell_length_a 6.216
_cell_length_b 6.216
_cell_length_c 11.866
_cell_angle_alpha 95.03
_cell_angle_beta 95.03
_cell_angle_gamma 119.99
_space_group_name_H-M_alt 'P 1'
_space_group_IT_number 1
_space_group_name_Hall 'P 1'
loop_
_atom_site_label
_atom_site_fract_x
_atom_site_fract_y
_atom_site_fract_z
Pr1 0.166 0.834 0.000
Pr2 0.834 0.166 0.000
Nd1 0.000 0.000 0.500
Nd2 0.332 0.668 0.500
Nd3 0.668 0.332 0.500
Y1 0.093 0.419 0.753
Y2 0.256 0.256 0.248
Y3 0.419 0.093 0.753
Y4 0.581 0.907 0.247
Y5 0.744 0.744 0.752
Y6 0.907 0.581 0.247
Pb1 0.500 0.500 0.000
```

***

Entry 3:
Compound: Ti2Pd3
Source: Alexandria via LeMat-Bulk
Functional: GGA-PBE
Structure: relaxed

Values from the calculation:
volume: 77.79 Å³/f.u.
energy of formation from the pure elements: -2.8 eV per formula unit
calculated total energy: -6.838 eV/atom
energy above the most stable polymorph in this dataset: 30 meV/atom
crystal system: monoclinic
D(E_F): 5.6 states/eV/f.u.

Geometry as CIF:
```
data_Ti2Pd3
_cell_length_a 8.812
_cell_length_b 3.853
_cell_length_c 6.213
_cell_angle_alpha 90.00
_cell_angle_beta 132.47
_cell_angle_gamma 90.00
_space_group_name_H-M_alt 'P 1'
_space_group_IT_number 1
_space_group_name_Hall 'P 1'
loop_
_atom_site_label
_atom_site_fract_x
_atom_site_fract_y
_atom_site_fract_z
Ti1 0.078 0.000 0.291
Ti2 0.422 0.500 0.709
Ti3 0.578 0.500 0.291
Ti4 0.922 0.000 0.709
Pd1 0.000 0.500 0.500
Pd2 0.198 0.500 0.111
Pd3 0.302 0.000 0.889
Pd4 0.500 0.000 0.500
Pd5 0.698 0.000 0.111
Pd6 0.802 0.500 0.889
```

***

Entry 4:
Compound: Nd2CdSn4Rh3
Source: Alexandria via LeMat-Bulk
Functional: GGA-PBE
Structure: relaxed

Values from the calculation:
volume: 227.39 Å³/f.u.
energy of formation from the pure elements: -6.0 eV per formula unit
calculated total energy: -5.456 eV/atom
crystal system: tetragonal
D(E_F): 6.6 states/eV/f.u.

Geometry as CIF:
```
data_Nd2CdSn4Rh3
_cell_length_a 4.516
_cell_length_b 4.516
_cell_length_c 11.147
_cell_angle_alpha 90.00
_cell_angle_beta 90.00
_cell_angle_gamma 90.00
_space_group_name_H-M_alt 'P 1'
_space_group_IT_number 1
_space_group_name_Hall 'P 1'
loop_
_atom_site_label
_atom_site_fract_x
_atom_site_fract_y
_atom_site_fract_z
Nd1 0.000 0.500 0.239
Nd2 0.500 0.000 0.761
Cd1 0.000 0.000 0.500
Sn1 0.000 0.000 0.000
Sn2 0.000 0.500 0.645
Sn3 0.500 0.000 0.355
Sn4 0.500 0.500 0.000
Rh1 0.000 0.500 0.875
Rh2 0.500 0.000 0.125
Rh3 0.500 0.500 0.500
```